[1]
A plane-wave DFT calculation with PBE-GGA was carried out for a geometry-optimized PmNdBi structure.

abc: 3.4233 3.4233 18.2677
angles: 90.00 90.00 90.00
Closest atoms and distances in Å follow each position.
Sites, in units of the cell vectors:
Pm1 0.0000 0.0000 0.0000  4 Bi 3.39, 4 Pm 3.42, 1 Nd 3.52
Pm2 0.5000 0.5000 0.5000  4 Bi 3.39, 4 Pm 3.42, 1 Nd 3.52
Nd1 0.0000 0.0000 0.1929  1 Bi 3.24, 4 Nd 3.42, 1 Pm 3.52
Nd2 0.5000 0.5000 0.6929  1 Bi 3.24, 4 Nd 3.42, 1 Pm 3.52
Bi1 0.0000 0.0000 0.3700  1 Nd 3.24, 4 Pm 3.39, 4 Bi 3.42
Bi2 0.5000 0.5000 0.8700  1 Nd 3.24, 4 Pm 3.39, 4 Bi 3.42

Summary:
The calculation puts the total magnetic moment at 0.00 μB per formula unit. The space-group type is I4mm. The calculated total energy is -26.398 eV for the cell shown. For the density of states at the Fermi level, the calculation gives 1.7161 states/eV/atom.


[2]
A plane-wave DFT calculation with PBE-GGA was carried out for a geometry-optimized Li2Al3Zn4 structure.

abc: 8.5643 8.5643 6.8586
angles: 90.00 90.00 142.55
Closest atoms and distances in Å follow each position.
Sites, in units of the cell vectors:
Li1 0.0808 0.9192 0.8792  7 Zn 2.80-3.12, 1 Al 2.91, 1 Li 3.10
Li2 0.4192 0.5808 0.3792  7 Zn 2.80-3.12, 1 Al 2.91, 1 Li 3.10
Li3 0.5808 0.4192 0.6208  7 Zn 2.80-3.12, 1 Al 2.91, 1 Li 3.10
Li4 0.9192 0.0808 0.1208  7 Zn 2.80-3.12, 1 Al 2.91, 1 Li 3.10
Al1 0.0000 0.0000 0.5000  6 Zn 2.55-2.59
Al2 0.0038 0.4962 0.7500  5 Zn 2.60-2.70, 2 Al 2.75
Al3 0.4962 0.0038 0.2500  5 Zn 2.60-2.70, 2 Al 2.75
Al4 0.5000 0.5000 0.0000  6 Zn 2.55-2.59
Al5 0.5038 0.9962 0.7500  5 Zn 2.60-2.70, 2 Al 2.75
Al6 0.9962 0.5038 0.2500  5 Zn 2.60-2.70, 2 Al 2.75
Zn1 0.1598 0.8402 0.5164  5 Al 2.59-2.68, 2 Zn 2.63, 1 Li 2.80
Zn2 0.1705 0.3295 0.7500  3 Al 2.55-2.70, 4 Zn 2.63-2.75
Zn3 0.3295 0.1705 0.2500  3 Al 2.55-2.70, 4 Zn 2.63-2.75
Zn4 0.3402 0.6598 0.0164  5 Al 2.59-2.68, 2 Zn 2.63, 1 Li 2.80
Zn5 0.6598 0.3402 0.9836  5 Al 2.59-2.68, 2 Zn 2.63, 1 Li 2.80
Zn6 0.6705 0.8295 0.7500  3 Al 2.55-2.70, 4 Zn 2.63-2.75
Zn7 0.8295 0.6705 0.2500  3 Al 2.55-2.70, 4 Zn 2.63-2.75
Zn8 0.8402 0.1598 0.4836  5 Al 2.59-2.68, 2 Zn 2.63, 1 Li 2.80

Summary:
The calculation puts the total magnetic moment at 0.00 μB per formula unit. The space-group type is Cmce. The calculated total energy is -41.395 eV for the cell shown. For the density of states at the Fermi level, the calculation gives 0.2063 states/eV/atom.


[3]
A plane-wave DFT calculation with PBE-GGA was carried out for a geometry-optimized NaLi5Mg2Ag2 structure.

abc: 9.6280 9.6280 4.4067
angles: 90.00 90.00 90.00
Closest atoms and distances in Å follow each position.
Sites, in units of the cell vectors:
Na1 0.0000 0.0000 0.0000  8 Li 3.10
Na2 0.5000 0.5000 0.0000  8 Li 3.10
Li1 0.0000 0.5000 0.5000  4 Ag 2.75, 4 Li 2.89
Li2 0.0803 0.2112 0.5000  2 Ag 2.76, 4 Li 2.84-3.08
Li3 0.2112 0.9197 0.5000  2 Ag 2.76, 4 Li 2.84-3.08
Li4 0.2888 0.4197 0.5000  2 Ag 2.76, 4 Li 2.84-3.08
Li5 0.4197 0.7112 0.5000  2 Ag 2.76, 4 Li 2.84-3.08
Li6 0.5000 0.0000 0.5000  4 Ag 2.75, 4 Li 2.89
Li7 0.5803 0.2888 0.5000  2 Ag 2.76, 4 Li 2.84-3.08
Li8 0.7112 0.5803 0.5000  2 Ag 2.76, 4 Li 2.84-3.08
Li9 0.7888 0.0803 0.5000  2 Ag 2.76, 4 Li 2.84-3.08
Li10 0.9197 0.7888 0.5000  2 Ag 2.76, 4 Li 2.84-3.08
Mg1 0.1723 0.6723 0.0000  3 Ag 2.81-2.87
Mg2 0.3277 0.1723 0.0000  3 Ag 2.81-2.87
Mg3 0.6723 0.8277 0.0000  3 Ag 2.81-2.87
Mg4 0.8277 0.3277 0.0000  3 Ag 2.81-2.87
Ag1 0.1210 0.3790 0.0000  6 Li 2.75-2.76, 3 Mg 2.81-2.87
Ag2 0.3790 0.8790 0.0000  6 Li 2.75-2.76, 3 Mg 2.81-2.87
Ag3 0.6210 0.1210 0.0000  6 Li 2.75-2.76, 3 Mg 2.81-2.87
Ag4 0.8790 0.6210 0.0000  6 Li 2.75-2.76, 3 Mg 2.81-2.87

Summary:
The calculation puts the total magnetic moment at 0.00 μB per formula unit. The space-group type is P4/mbm. The calculated total energy is -41.196 eV for the cell shown. For the density of states at the Fermi level, the calculation gives 0.3811 states/eV/atom.